# 1
Density functional theory data (PBE-GGA) for a relaxed structure of Sr5InHg4.

Cell lengths 4.027, 4.027, 20.022 Å; angles 90.00, 90.00, 90.00 degrees
Atoms (fractional coordinates):
Hg 0.000 0.000 0.200
Hg 0.000 0.000 0.401
Hg 0.000 0.000 0.599
Hg 0.000 0.000 0.800
Sr 0.500 0.500 0.699
Sr 0.500 0.500 0.301
Sr 0.500 0.500 0.102
Sr 0.500 0.500 0.500
Sr 0.500 0.500 0.898
In 0.000 0.000 0.000

Calculated values
- V (Å³/f.u.) = 324.6
- SG = P4/mmm (123)
- total DFT energy (no corrections) (eV/atom) = -1.750
- total moment (Bohr magnetons per cell) = 0.00

***

# 2
Density functional theory data (PBE-GGA) for a relaxed structure of ErGa4Ir2.

Cell lengths 4.022, 7.864, 7.864 Å; angles 90.00, 90.00, 90.00 degrees
Atoms (fractional coordinates):
Ga 0.500 0.585 0.174
Ga 0.500 0.415 0.826
Ga 0.000 0.674 0.915
Ga 0.000 0.915 0.674
Ga 0.000 0.326 0.085
Ga 0.500 0.174 0.585
Ga 0.000 0.085 0.326
Ga 0.500 0.826 0.415
Ir 0.500 0.713 0.713
Ir 0.000 0.787 0.213
Ir 0.500 0.287 0.287
Ir 0.000 0.213 0.787
Er 0.500 0.000 0.000
Er 0.000 0.500 0.500

Calculated values
- V (Å³/f.u.) = 124.4
- SG = P4_2/mnm (136)
- energy above the lowest structure with this stoichiometry (meV/atom) = 80.4
- total DFT energy (no corrections) (eV/atom) = -5.459
- total moment (Bohr magnetons per cell) = 0.00

***

# 3
Density functional theory data (PBE-GGA) for a relaxed structure of LiDy2In8.

Cell lengths 4.682, 4.682, 12.266 Å; angles 90.00, 90.00, 90.00 degrees
Atoms (fractional coordinates):
In 0.000 0.500 0.128
In 0.500 0.500 0.690
In 0.000 0.500 0.872
In 0.500 0.500 0.310
In 0.500 0.000 0.500
In 0.500 0.000 0.872
In 0.500 0.000 0.128
In 0.000 0.500 0.500
Li 0.000 0.000 0.000
Dy 0.000 0.000 0.687
Dy 0.000 0.000 0.313

Calculated values
- V (Å³/f.u.) = 268.9
- SG = P4/mmm (123)
- total DFT energy (no corrections) (eV/atom) = -3.334
- total moment (Bohr magnetons per cell) = 0.00

***

# 4
Density functional theory data (PBE-GGA) for a relaxed structure of CuTc2.

Cell lengths 5.076, 5.076, 6.381 Å; angles 75.91, 75.91, 31.78 degrees
Atoms (fractional coordinates):
Cu 0.357 0.357 0.032
Cu 0.643 0.643 0.968
Tc 0.980 0.980 0.306
Tc 0.305 0.305 0.631
Tc 0.020 0.020 0.694
Tc 0.695 0.695 0.369

Calculated values
- V (Å³/f.u.) = 41.9
- SG = C2/m (12)
- energy above the lowest structure with this stoichiometry (meV/atom) = 70.3
- total DFT energy (no corrections) (eV/atom) = -8.117
- total moment (Bohr magnetons per cell) = 0.00

***

# 5
Density functional theory data (PBE-GGA) for a relaxed structure of Ce2YAu6.

Cell lengths 3.636, 8.604, 8.604 Å; angles 53.41, 77.76, 77.76 degrees
Each line ends with the local moment (μB).
Atoms (fractional coordinates):
Ce 0.141 0.359 0.359  0.66
Ce 0.859 0.641 0.641  0.66
Au 0.324 0.359 0.992  0.00
Au 0.677 0.641 0.008  0.00
Au 0.324 0.992 0.359  0.00
Au 0.500 0.313 0.687  0.00
Au 0.500 0.687 0.313  0.00
Au 0.677 0.008 0.641  0.00
Y 0.999 0.001 0.001  0.00

Calculated values
- V (Å³/f.u.) = 210.0
- SG = Imm2 (44)
- total DFT energy (no corrections) (eV/atom) = -4.855
- total moment (Bohr magnetons per cell) = 1.59

***

# 6
Density functional theory data (PBE-GGA) for a relaxed structure of AcGe2Ir3.

Cell lengths 4.168, 8.245, 7.662 Å; angles 114.57, 90.00, 104.64 degrees
Atoms (fractional coordinates):
Ac 0.152 0.305 0.071
Ac 0.848 0.695 0.929
Ir 0.037 0.074 0.365
Ir 0.683 0.367 0.428
Ir 0.963 0.926 0.635
Ir 0.594 0.187 0.667
Ir 0.317 0.633 0.572
Ir 0.406 0.813 0.333
Ge 0.480 0.961 0.816
Ge 0.185 0.370 0.663
Ge 0.815 0.630 0.337
Ge 0.520 0.039 0.184

Calculated values
- V (Å³/f.u.) = 115.0
- SG = C2/m (12)
- energy above the lowest structure with this stoichiometry (meV/atom) = 99.1
- total DFT energy (no corrections) (eV/atom) = -7.193
- total moment (Bohr magnetons per cell) = 0.00